[1]
# Pa3Tl2OsO12 | Alexandria via LeMat-Bulk | GGA-PBE | relaxed
# * density: 6.989 Mg/m³
# * raw total energy: -441.36 eV/cell
data_Pa3Tl2OsO12
_cell_length_a 8.0081
_cell_length_b 8.0081
_cell_length_c 19.0461
_cell_angle_alpha 90.00
_cell_angle_beta 90.00
_cell_angle_gamma 120.00
_space_group_name_H-M_alt 'R -3 m'
_space_group_IT_number 166
_space_group_name_Hall '-R 3 2"'
loop_
_atom_site_label
_atom_site_fract_x
_atom_site_fract_y
_atom_site_fract_z
Pa1 0.0000 0.5000 0.0000
Tl1 0.0000 0.0000 0.0975
Os1 0.0000 0.0000 0.5000
O1 0.0719 0.5360 0.3586
O2 0.1093 0.5547 0.1098

***

[2]
# PaTl2Os3O12 | Alexandria via LeMat-Bulk | GGA-PBE | relaxed
# * density: 8.018 Mg/m³
# * raw total energy: -401.20 eV/cell
data_PaTl2Os3O12
_cell_length_a 7.2736
_cell_length_b 7.2736
_cell_length_c 19.0187
_cell_angle_alpha 90.00
_cell_angle_beta 90.00
_cell_angle_gamma 120.00
_space_group_name_H-M_alt 'R -3 m'
_space_group_IT_number 166
_space_group_name_Hall '-R 3 2"'
loop_
_atom_site_label
_atom_site_fract_x
_atom_site_fract_y
_atom_site_fract_z
Pa1 0.0000 0.0000 0.0000
Tl1 0.0000 0.0000 0.3457
Os1 0.0000 0.5000 0.5000
O1 0.0456 0.5228 0.6026
O2 0.0844 0.5422 0.8428

***

[3]
# PaTl2OsO6 | Alexandria via LeMat-Bulk | GGA-PBE | relaxed
# * density: 7.847 Mg/m³
# * raw total energy: -143.67 eV/cell
data_PaTl2OsO6
_cell_length_a 5.874
_cell_length_b 5.874
_cell_length_c 11.360
_cell_angle_alpha 90.00
_cell_angle_beta 90.00
_cell_angle_gamma 90.00
_space_group_name_H-M_alt 'I 4/m m m'
_space_group_IT_number 139
_space_group_name_Hall '-I 4 2'
loop_
_atom_site_label
_atom_site_fract_x
_atom_site_fract_y
_atom_site_fract_z
Pa1 0.000 0.000 0.000
Tl1 0.000 0.500 0.250
Os1 0.000 0.000 0.500
O1 0.000 0.000 0.173
O2 0.222 0.222 0.500